Record 1
First-principles (GGA-PBE) data for FeTcIrC2 after structural relaxation, as listed in the Alexandria database.

Cell: 3.585 3.585 5.267 Å, 90.00 90.00 90.00°
Fractional positions:
Fe: 0.000 0.000 0.000
Tc: 0.500 0.500 0.500
Ir: 0.000 0.000 0.500
C: 0.000 0.500 0.000
C: 0.500 0.000 0.000

Summary:
The formation energy is 1.7293 eV per atom.

Record 2
First-principles (GGA-PBE) data for FeTc2IrC after structural relaxation, as listed in the Alexandria database.

Cell: 4.026 4.026 3.817 Å, 90.00 90.00 90.00°
Fractional positions:
Fe: 0.000 0.000 0.000
Tc: 0.000 0.500 0.500
Tc: 0.500 0.000 0.500
Ir: 0.500 0.500 0.000
C: 0.000 0.000 0.500

Summary:
The formation energy is 0.1892 eV per atom.

Record 3
First-principles (GGA-PBE) data for Ti2FeIrC after structural relaxation, as listed in the Alexandria database.

Cell: 4.175 4.175 3.657 Å, 90.00 90.00 90.00°
Fractional positions:
Ti: 0.000 0.500 0.000
Ti: 0.500 0.000 0.000
Fe: 0.000 0.000 0.500
Ir: 0.500 0.500 0.500
C: 0.000 0.000 0.000

Summary:
The formation energy is -0.4834 eV per atom.